LiHgOs3: PBEsol geometry, meta-GGA SCAN.

Output
raw total energy: -54.070 eV/atom
formation enthalpy at 0 K: 3.17 eV/atom

a b c (Å): 4.9369 4.9369 4.9369
angles (deg): 90.00 90.00 90.00
With the nearest neighbours (Å) after each atom.
Fractional coordinates of all 5 atoms:
Li 0.0000 0.0000 0.0000  12 Os 3.49
Hg 0.5000 0.5000 0.5000  6 Os 2.47
Os 0.0000 0.5000 0.5000  2 Hg 2.47
Os 0.5000 0.0000 0.5000  2 Hg 2.47
Os 0.5000 0.5000 0.0000  2 Hg 2.47